# 1
{
  "formula": "Na2AcGaO4",
  "functional": "GGA-PBE",
  "state": "optimized geometry",
  "lattice": [[-0.826, -3.177, -1.219], [5.295, -0.666, 3.178], [-5.815, -2.041, 9.261]],
  "species": ["Ga", "Ga", "O", "Na", "Na", "O", "Na", "Na", "Ac", "O", "O", "O", "O", "O", "Ac", "O"],
  "fractional_positions": [[0.824, 0.648, 0.750], [0.176, 0.352, 0.250], [0.000, 0.000, 0.500], [0.378, 0.756, 0.964], [0.622, 0.244, 0.464], [0.286, 0.572, 0.134], [0.622, 0.244, 0.036], [0.378, 0.756, 0.536], [0.905, 0.810, 0.250], [0.000, 0.000, 0.000], [0.286, 0.572, 0.366], [0.409, 0.818, 0.750], [0.591, 0.182, 0.250], [0.714, 0.428, 0.634], [0.095, 0.190, 0.750], [0.714, 0.428, 0.866]],
  "space_group": "No. 63",
  "dft_energy_ev_per_atom": -5.632,
  "mass_density_g_cm3": 5.82,
  "crystal_system": "orthorhombic",
  "raw_formation_energy_ev_per_atom": -1.93
}


# 2
{
  "formula": "Sm4In2S",
  "functional": "GGA-PBE",
  "state": "optimized geometry",
  "lattice": [[-1.712, -4.923, -0.359], [2.789, -0.651, -4.370], [5.750, 0.280, 6.752]],
  "species": ["Sm", "In", "S", "Sm", "Sm", "Sm", "In"],
  "fractional_positions": [[0.500, 0.000, 0.000], [0.629, 0.629, 0.258], [0.000, 0.000, 0.000], [0.173, 0.173, 0.346], [0.827, 0.827, 0.654], [0.000, 0.500, 0.000], [0.371, 0.371, 0.742]],
  "space_group": "No. 139",
  "dft_energy_ev_per_atom": -4.761,
  "mass_density_g_cm3": 6.51,
  "crystal_system": "tetragonal",
  "relative_energy_ev_per_atom": 0.161,
  "raw_formation_energy_ev_per_atom": -0.69
}


# 3
{
  "formula": "Er5TlZn2",
  "functional": "GGA-PBE",
  "state": "optimized geometry",
  "lattice": [[7.470, 0.000, 0.000], [0.000, 7.470, 0.000], [-3.735, -3.735, 7.454]],
  "species": ["Zn", "Er", "Er", "Zn", "Er", "Tl", "Zn", "Er", "Tl", "Er", "Er", "Er", "Er", "Er", "Zn", "Er"],
  "fractional_positions": [[0.623, 0.123, 0.000], [0.519, 0.688, 0.707], [0.500, 0.500, 0.000], [0.377, 0.877, 0.000], [0.688, 0.188, 0.707], [0.250, 0.250, 0.500], [0.123, 0.377, 0.000], [0.312, 0.812, 0.293], [0.750, 0.750, 0.500], [0.188, 0.019, 0.707], [0.000, 0.000, 0.000], [0.812, 0.981, 0.293], [0.481, 0.312, 0.293], [0.019, 0.519, 0.707], [0.877, 0.623, 0.000], [0.981, 0.481, 0.293]],
  "space_group": "No. 140",
  "dft_energy_ev_per_atom": -3.723,
  "mass_density_g_cm3": 9.35,
  "crystal_system": "tetragonal",
  "formation_energy_ev_per_atom": -0.257
}


# 4
{
  "formula": "LiZrAl2F",
  "functional": "GGA-PBE",
  "state": "optimized geometry",
  "lattice": [[4.221, 0.000, 0.000], [0.000, 5.077, 0.000], [0.000, 0.000, 4.221]],
  "species": ["Al", "Zr", "Al", "Li", "F"],
  "fractional_positions": [[0.500, 0.000, 0.000], [0.000, 0.500, 0.000], [0.000, 0.000, 0.500], [0.000, 0.000, 0.000], [0.500, 0.500, 0.500]],
  "space_group": "No. 123",
  "dft_energy_ev_per_atom": -3.819,
  "mass_density_g_cm3": 3.14,
  "crystal_system": "tetragonal",
  "raw_formation_energy_ev_per_atom": 0.14
}